No. 1
The following is a DFT calculation (GGA-PBE) of crystalline HfAlIn at its relaxed geometry.

Lattice parameters (Å, degrees): 6.553 6.553 6.553 90.00 90.00 90.00
Element x y z (fractional)
Hf1 0.000 0.000 0.000
Hf2 0.000 0.500 0.500
Hf3 0.500 0.000 0.500
Hf4 0.500 0.500 0.000
Al1 0.000 0.000 0.500
Al2 0.000 0.500 0.000
Al3 0.500 0.000 0.000
Al4 0.500 0.500 0.500
In1 0.250 0.250 0.750
In2 0.250 0.750 0.250
In3 0.750 0.250 0.250
In4 0.750 0.750 0.750

---

No. 2
The following is a DFT calculation (GGA-PBE) of crystalline HfBeReBi at its relaxed geometry.

Lattice parameters (Å, degrees): 6.604 6.604 6.604 90.00 90.00 90.00
Element x y z (fractional)
Hf1 0.000 0.000 0.000
Hf2 0.000 0.500 0.500
Hf3 0.500 0.000 0.500
Hf4 0.500 0.500 0.000
Be1 0.000 0.000 0.500
Be2 0.000 0.500 0.000
Be3 0.500 0.000 0.000
Be4 0.500 0.500 0.500
Re1 0.250 0.250 0.750
Re2 0.250 0.750 0.250
Re3 0.750 0.250 0.250
Re4 0.750 0.750 0.750
Bi1 0.250 0.250 0.250
Bi2 0.250 0.750 0.750
Bi3 0.750 0.250 0.750
Bi4 0.750 0.750 0.250

---

The polymorph energy (0 for the lowest one) results, record by record, are as follows: 0.34 0.66 eV per formula unit.
The E results, record by record, are as follows: -5.0373 -6.8799 eV per atom.